Record 1
A geometry-optimized BaFeSb2 structure, computed with PBEsol.

Properties
calculated volume: 102.9 Å³/f.u.
E_tot: -5.04 eV per atom

Lattice parameters (Å, degrees): 3.6410 3.6410 7.7603 90.00 90.00 90.00
With the nearest neighbours (Å) after each atom.
Space group P4mm (No. 99)
One atom of each set of equivalent atoms:
Ba 0.0000 0.0000 0.0000  5 Sb 3.37-3.52, 4 Ba 3.64, 4 Fe 3.76
Fe 0.5000 0.5000 0.3524  5 Sb 2.62-2.65
Sb 0.0000 0.0000 0.4339  4 Fe 2.65
Sb 0.5000 0.5000 0.6905  1 Fe 2.62



Record 2
A geometry-optimized CaCd2Hg structure, computed with PBEsol.

Properties
calculated volume: 93.7 Å³/f.u.
E_tot: -1.59 eV per atom

Lattice parameters (Å, degrees): 4.4375 4.4375 4.7581 90.00 90.00 90.00
With the nearest neighbours (Å) after each atom.
Space group P4/mmm (No. 123)
One atom of each set of equivalent atoms:
Ca 0.0000 0.0000 0.0000  4 Hg 3.14, 8 Cd 3.25
Cd 0.0000 0.5000 0.5000  4 Cd 3.14, 4 Hg 3.25, 4 Ca 3.25
Hg 0.5000 0.5000 0.0000  4 Ca 3.14, 8 Cd 3.25



Record 3
A geometry-optimized Li2ScSb structure, computed with PBEsol.

Properties
calculated volume: 84.5 Å³/f.u.
E_tot: -4.03 eV per atom

Lattice parameters (Å, degrees): 8.8249 3.2483 5.9586 90.00 98.40 90.00
With the nearest neighbours (Å) after each atom.
Space group Cm (No. 8)
One atom of each set of equivalent atoms:
Li 0.0000 0.0000 0.0000  3 Li 2.64-2.86
Li 0.2485 0.0000 0.8013  3 Li 2.64-2.86, 3 Sb 2.83-2.85
Sc 0.2617 0.5000 0.3170  3 Sb 2.89-2.95, 3 Li 3.02-3.20
Sb 0.0080 0.5000 0.5729  5 Li 2.83-3.03, 3 Sc 2.89-2.95



Record 4
A geometry-optimized Sr2AlHI structure, computed with PBEsol.

Properties
calculated volume: 130.1 Å³/f.u.
E_tot: -3.01 eV per atom

Lattice parameters (Å, degrees): 5.7990 5.7990 3.8680 90.00 90.00 90.00
With the nearest neighbours (Å) after each atom.
Space group P4/mmm (No. 123)
One atom of each set of equivalent atoms:
Sr 0.0000 0.5000 0.0000  2 H 2.90
Al 0.0000 0.0000 0.5000  2 H 1.93
H 0.0000 0.0000 0.0000  2 Al 1.93
I 0.5000 0.5000 0.5000  8 Sr 3.49, 2 I 3.87



Record 5
A geometry-optimized CsSb2TeF structure, computed with PBEsol.

Properties
calculated volume: 138.7 Å³/f.u.
E_tot: -3.44 eV per atom

Lattice parameters (Å, degrees): 4.9844 4.9844 5.5840 90.00 90.00 90.00
With the nearest neighbours (Å) after each atom.
Space group P4/mmm (No. 123)
One atom of each set of equivalent atoms:
Cs 0.0000 0.0000 0.0000  4 Te 3.52, 8 Sb 3.74
Sb 0.0000 0.5000 0.5000  2 F 2.49
Te 0.5000 0.5000 0.0000  2 F 2.79
F 0.5000 0.5000 0.5000  4 Sb 2.49



Record 6
A geometry-optimized Y2TlHg structure, computed with PBEsol.

Properties
calculated volume: 103.8 Å³/f.u.
E_tot: -4.21 eV per atom

Lattice parameters (Å, degrees): 7.4601 7.4601 7.4601 90.00 90.00 90.00
With the nearest neighbours (Å) after each atom.
Space group F-43m (No. 216)
One atom of each set of equivalent atoms:
Y 0.0000 0.0000 0.0000  4 Hg 3.23, 4 Y 3.23
Y 0.2500 0.2500 0.2500  4 Tl 3.23, 4 Y 3.23
Tl 0.0000 0.0000 0.5000  4 Hg 3.23, 4 Y 3.23
Hg 0.2500 0.2500 0.7500  4 Tl 3.23, 4 Y 3.23



Record 7
A geometry-optimized MgSiOs2 structure, computed with PBEsol.

Properties
calculated volume: 60.3 Å³/f.u.
E_tot: -7.96 eV per atom

Lattice parameters (Å, degrees): 2.7931 2.7931 7.7344 90.00 90.00 90.00
With the nearest neighbours (Å) after each atom.
Space group P4mm (No. 99)
One atom of each set of equivalent atoms:
Mg 0.0000 0.0000 0.0000  4 Mg 2.79, 4 Os 2.83, 4 Si 3.06
Si 0.5000 0.5000 0.6980  4 Os 2.57, 4 Si 2.79
Os 0.0000 0.0000 0.4858  4 Si 2.57, 8 Os 2.63-2.79
Os 0.5000 0.5000 0.2615  8 Os 2.63-2.79, 4 Mg 2.83



Record 8
A geometry-optimized Mn4Ga3Co8Ge structure, computed with PBEsol.

Properties
calculated volume: 178.4 Å³/f.u.
E_tot: -7.48 eV per atom

Lattice parameters (Å, degrees): 3.9809 3.9809 38.9977 90.00 90.00 120.00
With the nearest neighbours (Å) after each atom.
Space group R-3m (No. 166, hexagonal axes)
One atom of each set of equivalent atoms:
Mn 0.0000 0.0000 0.1243  8 Co 2.41-2.46
Mn 0.0000 0.0000 0.3750  8 Co 2.44-2.47
Ga 0.0000 0.0000 0.0000  8 Co 2.44
Ga 0.0000 0.0000 0.2500  8 Co 2.43-2.46
Co 0.0000 0.0000 0.0625  4 Mn 2.41-2.44, 4 Ga 2.44
Co 0.0000 0.0000 0.1869  3 Ge 2.43, 4 Mn 2.44-2.46, 1 Ga 2.46
Co 0.0000 0.0000 0.3124  4 Ga 2.43-2.44, 4 Mn 2.44
Co 0.0000 0.0000 0.4382  1 Ge 2.41, 4 Mn 2.42-2.47, 3 Ga 2.45
Ge 0.0000 0.0000 0.5000  8 Co 2.41-2.43



Record 9
A geometry-optimized SrLiSb2 structure, computed with PBEsol.

Properties
calculated volume: 104.7 Å³/f.u.
ΔE to the lowest computed polymorph: 0 meV per atom

Lattice parameters (Å, degrees): 3.4465 4.4415 6.8413 90.00 90.00 90.00
With the nearest neighbours (Å) after each atom.
Space group Pmmm (No. 47)
One atom of each set of equivalent atoms:
Sr 0.0000 0.0000 0.0000  8 Sb 3.40, 2 Li 3.42, 2 Sr 3.45
Li 0.0000 0.0000 0.5000  8 Sb 3.19, 2 Sr 3.42, 2 Li 3.45
Sb 0.5000 0.5000 0.2796  1 Sb 3.02, 4 Li 3.19



Record 10
A geometry-optimized CaTaIr2 structure, computed with PBEsol.

Properties
calculated volume: 71.5 Å³/f.u.
ΔE to the lowest computed polymorph: 0 meV per atom

Lattice parameters (Å, degrees): 3.1018 3.1018 7.4347 90.00 90.00 90.00
With the nearest neighbours (Å) after each atom.
Space group P4/mmm (No. 123)
One atom of each set of equivalent atoms:
Ca 0.0000 0.0000 0.0000  8 Ir 3.10, 4 Ca 3.10
Ta 0.0000 0.0000 0.5000  8 Ir 2.68
Ir 0.5000 0.5000 0.2940  4 Ta 2.68



Record 11
A geometry-optimized CoTe2Ir structure, computed with PBEsol.

Properties
calculated volume: 70.7 Å³/f.u.
ΔE to the lowest computed polymorph: 0 meV per atom

Lattice parameters (Å, degrees): 3.0136 4.7280 9.9196 90.00 90.00 90.00
With the nearest neighbours (Å) after each atom.
Space group Imm2 (No. 44)
One atom of each set of equivalent atoms:
Co 0.0000 0.0000 0.0000  6 Te 2.69-2.81, 2 Ir 2.71, 2 Co 3.01
Te 0.0000 0.0000 0.4786  4 Co 2.81, 2 Ir 2.91, 4 Te 3.01-3.11
Te 0.0000 0.5000 0.2752  2 Co 2.69, 4 Ir 2.84, 2 Te 3.01
Ir 0.0000 0.5000 0.7272  2 Co 2.71, 6 Te 2.84-2.91, 2 Ir 3.01



Record 12
A geometry-optimized AlTcOs2 structure, computed with PBEsol.

Properties
calculated volume: 54.9 Å³/f.u.
E_tot: -9.99 eV per atom

Lattice parameters (Å, degrees): 2.9274 4.3364 8.6479 90.00 90.00 90.00
With the nearest neighbours (Å) after each atom.
Space group Imm2 (No. 44)
One atom of each set of equivalent atoms:
Al 0.0000 0.0000 0.0000  6 Os 2.51-2.62, 2 Tc 2.52
Tc 0.0000 0.5000 0.2621  2 Al 2.52, 6 Os 2.63-2.69
Os 0.0000 0.0000 0.5008  4 Al 2.62, 2 Tc 2.69, 4 Os 2.72-2.93
Os 0.0000 0.5000 0.7354  2 Al 2.51, 4 Tc 2.63, 2 Os 2.72



Question: Which formula does entry 1 have?
Answer: BaFeSb2



Question: Among the records above, which one has the lowest calculated volume?
Answer: AlTcOs2